Entry from the Alexandria database: crystalline HfGaPt2 at its relaxed geometry (GGA-PBE).

a b c (Å): 3.190 3.190 6.636
angles (deg): 90.00 90.00 90.00
Space group P4/mmm (No. 123)
One atom of each set of equivalent atoms:
Hf 0.000 0.000 0.000
Ga 0.000 0.000 0.500
Pt 0.500 0.500 0.267

Summary:
The total magnetic moment comes out at 0.0 μB/cell. The calculation puts the energy relative to the elements at -0.82 eV per atom. Its final energy is -7.085 eV per atom.

---

Entry from the Alexandria database: crystalline Pm3NdRu2 at its relaxed geometry (GGA-PBE).

a b c (Å): 15.690 5.192 8.292
angles (deg): 90.00 112.03 90.00
Space group C2/m (No. 12)
One atom of each set of equivalent atoms:
Pm 0.069 0.000 0.235
Pm 0.127 0.500 0.014
Pm 0.181 0.500 0.498
Nd 0.136 0.000 0.731
Ru 0.011 0.500 0.662
Ru 0.228 0.000 0.130

Summary:
The total magnetic moment comes out at 0.0 μB/cell. The calculation puts the energy relative to the elements at -0.08 eV per atom. Its final energy is -6.338 eV per atom.

---

Entry from the Alexandria database: crystalline Nd4TeRu at its relaxed geometry (GGA-PBE).

a b c (Å): 9.309 14.183 6.477
angles (deg): 90.00 119.99 90.00
Space group C2/c (No. 15)
One atom of each set of equivalent atoms:
Nd 0.116 0.182 0.090
Nd 0.230 0.440 0.309
Te 0.000 0.371 0.750
Ru 0.000 0.003 0.250

Summary:
The total magnetic moment comes out at 0.0 μB/cell. Its final energy is -5.789 eV per atom.

---

> Among the records above, which one has the highest final energy?

Nd4TeRu